The following is a DFT calculation (PBE) of an optimized crystal structure of Sn5Hg.

## Properties
Calculated volume   27.08 Å³/atom
Formation enthalpy at 0 K   0.063 eV per atom
Energy above the lowest structure with this stoichiometry   0.007 eV per atom
Fermi-level density of states   2.87 states/eV per cell
Total moment   0.00 μB per atom

Structure (POSCAR):
```
Sn5Hg
1.0
-2.552 -1.475 4.872
0.136 -5.197 -1.502
5.987 0.195 -0.132
Sn Hg
5 1
Direct
0.838 0.500 0.677
0.328 0.000 0.655
0.672 0.000 0.345
0.162 0.500 0.323
0.500 0.500 0.000
0.000 0.000 0.000
```

***

The following is a DFT calculation (PBE) of an optimized crystal structure of ZnGa6Pt.

## Properties
Calculated volume   19.78 Å³/atom
Formation enthalpy at 0 K   -0.115 eV per atom
Fermi-level density of states   2.81 states/eV per cell
Total moment   0.00 μB per atom

Structure (POSCAR):
```
ZnGa6Pt
1.0
5.497 0.533 -0.084
-1.550 5.300 -0.084
-0.835 -1.234 5.318
Pt Zn Ga
1 1 6
Direct
0.500 0.500 0.500
0.000 0.000 0.000
0.809 0.809 0.368
0.809 0.368 0.809
0.632 0.191 0.191
0.368 0.809 0.809
0.191 0.632 0.191
0.191 0.191 0.632
```

***

The following is a DFT calculation (PBE) of an optimized crystal structure of NdMnI.

## Properties
Calculated volume   29.04 Å³/atom
Energy relative to the elements, uncorrected   -0.25 eV per atom
Fermi-level density of states   11.06 states/eV per cell
Total moment   0.00 μB per atom

Structure (POSCAR):
```
NdMnI
1.0
3.759 0.000 0.000
0.000 3.668 0.000
0.000 0.000 25.282
Mn I Nd
4 4 4
Direct
0.167 0.250 0.501
0.333 0.250 0.001
0.667 0.750 0.999
0.833 0.750 0.499
0.709 0.250 0.829
0.291 0.750 0.171
0.209 0.750 0.671
0.791 0.250 0.329
0.280 0.750 0.407
0.780 0.250 0.093
0.720 0.250 0.593
0.220 0.750 0.907
```

***

The following is a DFT calculation (PBE) of an optimized crystal structure of La2Sm2In.

## Properties
Calculated volume   33.05 Å³/atom
Formation enthalpy at 0 K   -0.162 eV per atom
Energy above the lowest structure with this stoichiometry   0.000 eV per atom
Fermi-level density of states   10.86 states/eV per cell
Total moment   0.00 μB per atom

Structure (POSCAR):
```
La2Sm2In
1.0
5.630 0.000 0.000
-2.815 6.222 0.113
0.000 -2.706 9.385
In Sm La
2 4 4
Direct
0.747 0.494 0.263
0.253 0.506 0.737
0.654 0.308 0.555
0.522 0.045 0.844
0.478 0.955 0.156
0.346 0.692 0.445
0.976 0.951 0.662
0.024 0.049 0.338
0.839 0.678 0.949
0.161 0.322 0.051
```

***

Question: Which formula does entry 2 have?
Answer: ZnGa6Pt

***

Question: Which of these has the highest Fermi-level density of states?
Answer: NdMnI

***

Question: The highest calculated volume belongs to which entry?
Answer: La2Sm2In